# Na2ZnMoO4 GGA+U relaxed
data_Na2ZnMoO4
_chemical_formula_sum 'Na2 Zn1 Mo1 O4'
_cell_length_a 3.171
_cell_length_b 5.484
_cell_length_c 5.751
_cell_angle_alpha 109.34
_cell_angle_beta 90.00
_cell_angle_gamma 90.00
_symmetry_space_group_name_H-M 'P 1'
_symmetry_Int_Tables_number 1
_symmetry_space_group_name_Hall 'P 1'
loop_
_atom_site_label
_atom_site_type_symbol
_atom_site_fract_x
_atom_site_fract_y
_atom_site_fract_z
O1 O 0.500 0.248 0.197
O2 O 0.000 0.723 0.215
O3 O 0.500 0.752 0.803
O4 O 0.000 0.277 0.785
Mo1 Mo 0.500 0.500 0.000
Na1 Na 0.500 0.000 0.500
Na2 Na 0.000 0.500 0.500
Zn1 Zn 0.000 0.000 0.000
# Volume, Å³ per cell: 94
# Crystal system: monoclinic
# DFT total energy, eV/atom: -5.46